Run one
The following is a DFT calculation (PBE) of crystalline RbB3Os at its relaxed geometry.

Cell lengths 4.1798, 4.1798, 4.1798 Å; angles 90.00, 90.00, 90.00 degrees
Last column: nearest neighbours and their distance in Å.
Positions (direct):
B: 0.0000 0.5000 0.0000  2 Rb 2.09
B: 0.0000 0.0000 0.5000  2 Rb 2.09
B: 0.5000 0.0000 0.0000  2 Rb 2.09
Os: 0.5000 0.5000 0.5000  12 B 2.96
Rb: 0.0000 0.0000 0.0000  6 B 2.09

* symmetry: Pm-3m, No. 221
* total magnetization: 0.00 μB per formula unit

***

Run two
The following is a DFT calculation (PBE) of crystalline RbB3Os at its relaxed geometry.

Cell lengths 4.2591, 4.2591, 4.2591 Å; angles 90.00, 90.00, 90.00 degrees
Last column: nearest neighbours and their distance in Å.
Positions (direct):
B: 0.0000 0.5000 0.0000  2 Os 2.13
B: 0.0000 0.0000 0.5000  2 Os 2.13
B: 0.5000 0.0000 0.0000  2 Os 2.13
Os: 0.0000 0.0000 0.0000  6 B 2.13
Rb: 0.5000 0.5000 0.5000  12 B 3.01

* symmetry: Pm-3m, No. 221
* total magnetization: 0.00 μB per formula unit

***

Q: What are the energies relative to the best structure? A: run one 3496; run two 0, in meV per atom.

***

Run one
The following is a DFT calculation (PBE) of crystalline B2OsRh at its relaxed geometry.

Cell lengths 4.9616, 4.9616, 5.4642 Å; angles 63.00, 63.00, 90.00 degrees
Last column: nearest neighbours and their distance in Å.
Positions (direct):
Rh: 0.5000 0.5000 0.0000  4 B 2.05
Rh: 0.2500 0.7500 0.5000  4 B 2.05
B: 0.6279 0.1250 0.2500  2 Os 2.03, 2 Rh 2.05
B: 0.1221 0.6250 0.2500  2 Os 2.03, 2 Rh 2.05
B: 0.3750 0.3721 0.7500  2 Os 2.03, 2 Rh 2.05
B: 0.8750 0.8779 0.7500  2 Os 2.03, 2 Rh 2.05
Os: 0.0000 0.0000 0.0000  4 B 2.03
Os: 0.7500 0.2500 0.5000  4 B 2.03

* symmetry: I-42d, No. 122
* total magnetization: 0.00 μB per formula unit

***

Run two
The following is a DFT calculation (PBE) of crystalline B2OsRh at its relaxed geometry.

Cell lengths 3.8456, 3.8456, 3.8456 Å; angles 60.00, 60.00, 60.00 degrees
Last column: nearest neighbours and their distance in Å.
Positions (direct):
Rh: 0.0000 0.0000 0.0000  8 B 2.35
B: 0.2500 0.2500 0.2500  4 Rh 2.35, 4 Os 2.35
B: 0.7500 0.7500 0.7500  4 Os 2.35, 4 Rh 2.35
Os: 0.5000 0.5000 0.5000  8 B 2.35

* symmetry: Fm-3m, No. 225
* total magnetization: 0.00 μB per formula unit

***

Q: What are the energies relative to the best structure? A: run one 235; run two 0, in meV per atom.

***

Run one
The following is a DFT calculation (PBE) of crystalline BOsRu3 at its relaxed geometry.

Cell lengths 4.6711, 4.6711, 4.6711 Å; angles 90.00, 90.00, 90.00 degrees
Last column: nearest neighbours and their distance in Å.
Positions (direct):
Ru: 0.0000 0.5000 0.0000  2 Os 2.34
Ru: 0.0000 0.0000 0.5000  2 Os 2.34
Ru: 0.5000 0.0000 0.0000  2 Os 2.34
B: 0.5000 0.5000 0.5000  12 Ru 3.30
Os: 0.0000 0.0000 0.0000  6 Ru 2.34

* symmetry: Pm-3m, No. 221
* total magnetization: 1.54 μB per formula unit

***

Run two
The following is a DFT calculation (PBE) of crystalline BOsRu3 at its relaxed geometry.

Cell lengths 4.0316, 4.0316, 4.0316 Å; angles 90.00, 90.00, 90.00 degrees
Last column: nearest neighbours and their distance in Å.
Positions (direct):
Ru: 0.0000 0.5000 0.0000  2 B 2.02
Ru: 0.0000 0.0000 0.5000  2 B 2.02
Ru: 0.5000 0.0000 0.0000  2 B 2.02
B: 0.0000 0.0000 0.0000  6 Ru 2.02
Os: 0.5000 0.5000 0.5000  12 Ru 2.85

* symmetry: Pm-3m, No. 221
* total magnetization: 0.00 μB per formula unit

***

Q: What are the energies relative to the best structure? A: run one 2234; run two 0, in meV per atom.

***

Run one
The following is a DFT calculation (PBE) of crystalline B3OsS at its relaxed geometry.

Cell lengths 4.1452, 4.1452, 4.1452 Å; angles 90.00, 90.00, 90.00 degrees
Last column: nearest neighbours and their distance in Å.
Positions (direct):
S: 0.5000 0.5000 0.5000  12 B 2.93
B: 0.0000 0.5000 0.0000  2 Os 2.07
B: 0.0000 0.0000 0.5000  2 Os 2.07
B: 0.5000 0.0000 0.0000  2 Os 2.07
Os: 0.0000 0.0000 0.0000  6 B 2.07

* symmetry: Pm-3m, No. 221
* total magnetization: 0.83 μB per formula unit

***

Run two
The following is a DFT calculation (PBE) of crystalline B3OsS at its relaxed geometry.

Cell lengths 3.7587, 3.7587, 3.7587 Å; angles 90.00, 90.00, 90.00 degrees
Last column: nearest neighbours and their distance in Å.
Positions (direct):
S: 0.0000 0.0000 0.0000  6 B 1.88
B: 0.0000 0.5000 0.0000  2 S 1.88
B: 0.0000 0.0000 0.5000  2 S 1.88
B: 0.5000 0.0000 0.0000  2 S 1.88
Os: 0.5000 0.5000 0.5000  12 B 2.66

* symmetry: Pm-3m, No. 221
* total magnetization: 0.94 μB per formula unit

***

Q: What are the energies relative to the best structure? A: run one 0; run two 538, in meV per atom.

***

Run one
The following is a DFT calculation (PBE) of crystalline BOs2S at its relaxed geometry.

Cell lengths 5.0067, 5.0067, 6.0095 Å; angles 65.38, 65.38, 90.00 degrees
Last column: nearest neighbours and their distance in Å.
Positions (direct):
S: 0.0000 0.0000 0.0000  4 Os 2.24
S: 0.7500 0.2500 0.5000  4 Os 2.24
B: 0.5000 0.5000 0.0000  4 Os 2.06
B: 0.2500 0.7500 0.5000  4 Os 2.06
Os: 0.5945 0.1250 0.2500  2 B 2.06, 2 S 2.24
Os: 0.1555 0.6250 0.2500  2 B 2.06, 2 S 2.24
Os: 0.3750 0.4055 0.7500  2 B 2.06, 2 S 2.24
Os: 0.8750 0.8445 0.7500  2 B 2.06, 2 S 2.24

* symmetry: I-42d, No. 122
* total magnetization: 0.00 μB per formula unit

***

Run two
The following is a DFT calculation (PBE) of crystalline BOs2S at its relaxed geometry.

Cell lengths 4.0417, 4.0417, 4.0417 Å; angles 60.00, 60.00, 60.00 degrees
Last column: nearest neighbours and their distance in Å.
Positions (direct):
S: 0.5000 0.5000 0.5000  8 Os 2.48
B: 0.0000 0.0000 0.0000  8 Os 2.48
Os: 0.2500 0.2500 0.2500  4 S 2.48, 4 B 2.48
Os: 0.7500 0.7500 0.7500  4 S 2.48, 4 B 2.48

* symmetry: Fm-3m, No. 225
* total magnetization: 0.00 μB per formula unit

***

Q: What are the energies relative to the best structure? A: run one 0; run two 226, in meV per atom.

***

Run one
The following is a DFT calculation (PBE) of crystalline BSbOs2 at its relaxed geometry.

Cell lengths 4.6198, 4.6198, 7.4072 Å; angles 71.83, 71.83, 90.00 degrees
Last column: nearest neighbours and their distance in Å.
Positions (direct):
Sb: 0.0000 0.0000 0.0000  4 Os 2.67
Sb: 0.7500 0.2500 0.5000  4 Os 2.67
B: 0.5000 0.5000 0.0000  4 Os 2.10
B: 0.2500 0.7500 0.5000  4 Os 2.10
Os: 0.4977 0.1250 0.2500  2 B 2.10
Os: 0.2523 0.6250 0.2500  2 B 2.10
Os: 0.3750 0.5023 0.7500  2 B 2.10
Os: 0.8750 0.7477 0.7500  2 B 2.10

* symmetry: I-42d, No. 122
* total magnetization: 0.00 μB per formula unit

***

Run two
The following is a DFT calculation (PBE) of crystalline BSbOs2 at its relaxed geometry.

Cell lengths 4.3045, 4.3045, 4.3045 Å; angles 60.00, 60.00, 60.00 degrees
Last column: nearest neighbours and their distance in Å.
Positions (direct):
Sb: 0.5000 0.5000 0.5000  8 Os 2.64
B: 0.0000 0.0000 0.0000  8 Os 2.64
Os: 0.2500 0.2500 0.2500  4 Sb 2.64, 4 B 2.64
Os: 0.7500 0.7500 0.7500  4 B 2.64, 4 Sb 2.64

* symmetry: Fm-3m, No. 225
* total magnetization: 0.00 μB per formula unit

***

Q: What are the energies relative to the best structure? A: run one 0; run two 219, in meV per atom.